Below is a geometry-optimized Pr3Nd2DyTe6 structure, with properties calculated at the GGA-PBE level.

It has space group C2/m (No. 12), with a = 19.589 Å, b = 4.461 Å, c = 9.045 Å, α = 90.00°, β = 103.32° and γ = 90.00°. The distinct sites, in fractional coordinates, are Pr at (0.000, 0.000, 0.000), Pr at (0.171, 0.500, 0.334), Nd at (0.169, 0.500, 0.836), Dy at (0.000, 0.000, 0.500), Te at (0.001, 0.500, 0.260), Te at (0.161, 0.000, 0.582) and Te at (0.166, 0.000, 0.081).

The raw formation energy comes out at -135.9 kJ/mol of atoms. The density of states at the Fermi level is 6.7 states/eV/f.u. Its volume is 769.09 Å³ per cell.